(1)
# PBE Pm2GdBi, relaxed
data_Pm2GdBi
_cell_length_a 3.5851
_cell_length_b 3.5851
_cell_length_c 37.0467
_cell_angle_alpha 90.00
_cell_angle_beta 90.00
_cell_angle_gamma 120.00
_symmetry_space_group_name_H-M 'R -3 m'
_symmetry_Int_Tables_number 166
_symmetry_space_group_name_Hall '-R 3 2"'
loop_
_atom_site_label
_atom_site_fract_x
_atom_site_fract_y
_atom_site_fract_z
_atom_site_occupancy
Pm1 0.0000 0.0000 0.0871 1
Gd1 0.0000 0.0000 0.5000 1
Bi1 0.0000 0.0000 0.0000 1
# polymorph energy (0 for the lowest one): 40.6 kJ per mole of atoms
# DOS at the Fermi energy: 15.59 states/eV per cell
# calculated total energy: -6.857 eV per atom
# DFT formation energy: 0.0084 eV/atom
# crystal system: trigonal


(2)
# PBE MnSiH2Ir, relaxed
data_MnSiH2Ir
_cell_length_a 3.522
_cell_length_b 3.522
_cell_length_c 4.917
_cell_angle_alpha 90.00
_cell_angle_beta 90.00
_cell_angle_gamma 90.00
_symmetry_space_group_name_H-M 'P 4/m m m'
_symmetry_Int_Tables_number 123
_symmetry_space_group_name_Hall '-P 4 2'
loop_
_atom_site_label
_atom_site_fract_x
_atom_site_fract_y
_atom_site_fract_z
_atom_site_occupancy
Mn1 0.000 0.000 0.000 1
Si1 0.500 0.500 0.500 1
H1 0.000 0.500 0.500 1
Ir1 0.500 0.500 0.000 1
# DOS at the Fermi energy: 2.39 states/eV per cell
# calculated total energy: -5.590 eV per atom
# crystal system: tetragonal


(3)
# PBE Th2Zr4Sc, relaxed
data_Th2Zr4Sc
_cell_length_a 6.023
_cell_length_b 7.971
_cell_length_c 8.214
_cell_angle_alpha 85.28
_cell_angle_beta 83.37
_cell_angle_gamma 68.95
_symmetry_space_group_name_H-M 'P 1'
_symmetry_Int_Tables_number 1
loop_
_symmetry_equiv_pos_as_xyz
'x,y,z'
loop_
_atom_site_label
_atom_site_fract_x
_atom_site_fract_y
_atom_site_fract_z
_atom_site_occupancy
Th1 0.000 0.000 0.000 1
Th2 0.002 0.812 0.622 1
Th3 0.379 0.174 0.147 1
Th4 0.875 0.204 0.405 1
Zr1 0.048 0.329 0.758 1
Zr2 0.196 0.584 0.968 1
Zr3 0.332 0.772 0.270 1
Zr4 0.435 0.005 0.538 1
Zr5 0.577 0.237 0.778 1
Zr6 0.591 0.598 0.620 1
Zr7 0.715 0.432 0.067 1
Zr8 0.836 0.707 0.283 1
Sc1 0.290 0.426 0.439 1
Sc2 0.601 0.811 0.916 1
# DOS at the Fermi energy: 20.50 states/eV per cell
# calculated total energy: -7.797 eV per atom
# DFT formation energy: 0.1121 eV/atom
# crystal system: triclinic


(4)
# PBE PmUBr6, relaxed
data_PmUBr6
_cell_length_a 7.2354
_cell_length_b 7.2354
_cell_length_c 19.9777
_cell_angle_alpha 90.00
_cell_angle_beta 90.00
_cell_angle_gamma 120.00
_symmetry_space_group_name_H-M 'R -3'
_symmetry_Int_Tables_number 148
_symmetry_space_group_name_Hall '-R 3'
loop_
_atom_site_label
_atom_site_fract_x
_atom_site_fract_y
_atom_site_fract_z
_atom_site_occupancy
Pm1 0.0000 0.0000 0.0000 1
U1 0.0000 0.0000 0.5000 1
Br1 0.0011 0.6589 0.7495 1
# polymorph energy (0 for the lowest one): 1.1 kJ per mole of atoms
# DOS at the Fermi energy: 6.62 states/eV per cell
# calculated total energy: -4.789 eV per atom
# crystal system: trigonal


(5)
# PBE TlV2CdGa, relaxed
data_TlV2CdGa
_cell_length_a 4.816
_cell_length_b 4.816
_cell_length_c 4.917
_cell_angle_alpha 90.00
_cell_angle_beta 90.00
_cell_angle_gamma 90.00
_symmetry_space_group_name_H-M 'P 4/m m m'
_symmetry_Int_Tables_number 123
_symmetry_space_group_name_Hall '-P 4 2'
loop_
_atom_site_label
_atom_site_fract_x
_atom_site_fract_y
_atom_site_fract_z
_atom_site_occupancy
Tl1 0.000 0.000 0.000 1
V1 0.000 0.500 0.500 1
Cd1 0.500 0.500 0.000 1
Ga1 0.500 0.500 0.500 1
# DOS at the Fermi energy: 5.96 states/eV per cell
# calculated total energy: -4.034 eV per atom
# DFT formation energy: 0.8749 eV/atom
# crystal system: tetragonal


(6)
# PBE HoEr4Si4, relaxed
data_HoEr4Si4
_cell_length_a 8.935
_cell_length_b 8.935
_cell_length_c 5.702
_cell_angle_alpha 90.00
_cell_angle_beta 90.00
_cell_angle_gamma 90.00
_symmetry_space_group_name_H-M 'P 42/n'
_symmetry_Int_Tables_number 86
loop_
_symmetry_equiv_pos_as_xyz
'x,y,z'
'-x,-y,-z'
'-y,x+1/2,z+1/2'
'y,-x+1/2,-z+1/2'
'-x+1/2,-y+1/2,z'
'x+1/2,y+1/2,-z'
'y+1/2,-x,z+1/2'
'-y+1/2,x,-z+1/2'
loop_
_atom_site_label
_atom_site_fract_x
_atom_site_fract_y
_atom_site_fract_z
_atom_site_occupancy
Ho1 0.250 0.250 0.250 1
Er1 0.083 0.655 0.127 1
Si1 0.026 0.610 0.626 1
# DOS at the Fermi energy: 16.00 states/eV per cell
# calculated total energy: -5.423 eV per atom
# crystal system: tetragonal


(7)
# PBE Y2NiOs, relaxed
data_Y2NiOs
_cell_length_a 4.524
_cell_length_b 4.524
_cell_length_c 17.613
_cell_angle_alpha 90.00
_cell_angle_beta 90.00
_cell_angle_gamma 90.00
_symmetry_space_group_name_H-M 'I -4 2 d'
_symmetry_Int_Tables_number 122
_symmetry_space_group_name_Hall 'I -4 2bw'
loop_
_atom_site_label
_atom_site_fract_x
_atom_site_fract_y
_atom_site_fract_z
_atom_site_occupancy
Y1 0.250 0.250 0.125 1
Ni1 0.000 0.000 0.000 1
Os1 0.000 0.000 0.500 1
# DOS at the Fermi energy: 11.73 states/eV per cell
# calculated total energy: -6.759 eV per atom
# DFT formation energy: 0.7261 eV/atom
# crystal system: tetragonal


(8)
# PBE KW3I, relaxed
data_KW3I
_cell_length_a 5.014
_cell_length_b 5.014
_cell_length_c 5.014
_cell_angle_alpha 90.00
_cell_angle_beta 90.00
_cell_angle_gamma 90.00
_symmetry_space_group_name_H-M 'P m -3 m'
_symmetry_Int_Tables_number 221
_symmetry_space_group_name_Hall '-P 4 2 3'
loop_
_atom_site_label
_atom_site_fract_x
_atom_site_fract_y
_atom_site_fract_z
_atom_site_occupancy
K1 0.000 0.000 0.000 1
W1 0.000 0.500 0.500 1
I1 0.500 0.500 0.500 1
# polymorph energy (0 for the lowest one): 0.0 kJ per mole of atoms
# DOS at the Fermi energy: 4.05 states/eV per cell
# calculated total energy: -5.480 eV per atom
# crystal system: cubic


(9)
# PBE Sc5SbSe5, relaxed
data_Sc5SbSe5
_cell_length_a 12.301
_cell_length_b 5.573
_cell_length_c 7.813
_cell_angle_alpha 90.00
_cell_angle_beta 108.20
_cell_angle_gamma 90.00
_symmetry_space_group_name_H-M 'C 1 2/m 1'
_symmetry_Int_Tables_number 12
loop_
_symmetry_equiv_pos_as_xyz
'x,y,z'
'-x,-y,-z'
'-x,y,-z'
'x,-y,z'
'x+1/2,y+1/2,z'
'-x+1/2,-y+1/2,-z'
'-x+1/2,y+1/2,-z'
'x+1/2,-y+1/2,z'
loop_
_atom_site_label
_atom_site_fract_x
_atom_site_fract_y
_atom_site_fract_z
_atom_site_occupancy
Sc1 0.000 0.000 0.000 1
Sc2 0.167 0.500 0.820 1
Sc3 0.169 0.500 0.346 1
Sb1 0.000 0.500 0.000 1
Se1 0.000 0.500 0.500 1
Se2 0.163 0.000 0.335 1
Se3 0.171 0.000 0.838 1
# DOS at the Fermi energy: 8.82 states/eV per cell
# calculated total energy: -6.373 eV per atom
# crystal system: monoclinic


(10)
# PBE Ho5Te2, relaxed
data_Ho5Te2
_cell_length_a 16.737
_cell_length_b 6.968
_cell_length_c 7.275
_cell_angle_alpha 90.00
_cell_angle_beta 95.07
_cell_angle_gamma 90.00
_symmetry_space_group_name_H-M 'C 1 2/c 1'
_symmetry_Int_Tables_number 15
loop_
_symmetry_equiv_pos_as_xyz
'x,y,z'
'-x,-y,-z'
'-x,y,-z+1/2'
'x,-y,z+1/2'
'x+1/2,y+1/2,z'
'-x+1/2,-y+1/2,-z'
'-x+1/2,y+1/2,-z+1/2'
'x+1/2,-y+1/2,z+1/2'
loop_
_atom_site_label
_atom_site_fract_x
_atom_site_fract_y
_atom_site_fract_z
_atom_site_occupancy
Ho1 0.000 0.147 0.250 1
Ho2 0.100 0.430 0.941 1
Ho3 0.224 0.139 0.284 1
Te1 0.108 0.165 0.606 1
# DOS at the Fermi energy: 32.61 states/eV per cell
# calculated total energy: -4.817 eV per atom
# crystal system: monoclinic


(11)
# PBE Pu2MgZnRu2, relaxed
data_Pu2MgZnRu2
_cell_length_a 5.430
_cell_length_b 15.274
_cell_length_c 5.502
_cell_angle_alpha 90.00
_cell_angle_beta 90.00
_cell_angle_gamma 90.00
_symmetry_space_group_name_H-M 'I b a m'
_symmetry_Int_Tables_number 72
_symmetry_space_group_name_Hall '-I 2 2c'
loop_
_atom_site_label
_atom_site_fract_x
_atom_site_fract_y
_atom_site_fract_z
_atom_site_occupancy
Pu1 0.247 0.173 0.000 1
Mg1 0.000 0.000 0.250 1
Zn1 0.000 0.500 0.250 1
Ru1 0.243 0.367 0.000 1
# DOS at the Fermi energy: 55.88 states/eV per cell
# calculated total energy: -8.496 eV per atom
# DFT formation energy: -0.1485 eV/atom
# crystal system: orthorhombic


(12)
# PBE Pr2ZnPd, relaxed
data_Pr2ZnPd
_cell_length_a 3.4523
_cell_length_b 3.4523
_cell_length_c 30.9989
_cell_angle_alpha 90.00
_cell_angle_beta 90.00
_cell_angle_gamma 120.00
_symmetry_space_group_name_H-M 'R -3 m'
_symmetry_Int_Tables_number 166
_symmetry_space_group_name_Hall '-R 3 2"'
loop_
_atom_site_label
_atom_site_fract_x
_atom_site_fract_y
_atom_site_fract_z
_atom_site_occupancy
Pr1 0.0000 0.0000 0.0885 1
Zn1 0.0000 0.0000 0.5000 1
Pd1 0.0000 0.0000 0.0000 1
# polymorph energy (0 for the lowest one): 56.6 kJ per mole of atoms
# DOS at the Fermi energy: 12.12 states/eV per cell
# calculated total energy: -3.944 eV per atom
# DFT formation energy: 0.0628 eV/atom
# crystal system: trigonal